1.
DFT (PBE) results for a relaxed structure of Ga2PtI4Cl4.

Cell: 13.700 8.619 7.830 Å, 90.00 103.11 90.00°
Space group C2/m (No. 12)
Symmetry-distinct sites (fractional):
Ga: 0.211 0.000 0.329 (multiplicity 4)
Pt: 0.000 0.000 0.000 (multiplicity 2)
I: 0.113 0.500 0.711 (multiplicity 4)
I: 0.181 0.000 0.632 (multiplicity 4)
Cl: 0.110 0.185 0.148 (multiplicity 8)

Summary:
excess energy over the best structure of this formula in the dataset: 96 meV/atom

2.
DFT (PBE) results for a relaxed structure of Be2InOs.

Cell: 6.042 6.042 6.042 Å, 90.00 90.00 90.00°
Space group F-43m (No. 216)
Symmetry-distinct sites (fractional):
Be: 0.000 0.000 0.000 (multiplicity 4)
Be: 0.250 0.250 0.250 (multiplicity 4)
In: 0.000 0.000 0.500 (multiplicity 4)
Os: 0.250 0.250 0.750 (multiplicity 4)

Summary:
VASP energy: -77.133 eV/cell

3.
DFT (PBE) results for a relaxed structure of LaSm2Ni7Pt2.

Cell: 5.1587 5.1587 25.0487 Å, 90.00 90.00 120.00°
Space group R-3m (No. 166, hexagonal axes)
Symmetry-distinct sites (fractional):
La: 0.0000 0.0000 0.0000 (multiplicity 3)
Sm: 0.0000 0.0000 0.1399 (multiplicity 6)
Ni: 0.0000 0.0000 0.5000 (multiplicity 3)
Ni: 0.0002 0.5001 0.0865 (multiplicity 18)
Pt: 0.0000 0.0000 0.3322 (multiplicity 6)

Summary:
formation energy: -0.477 eV/atom

4.
DFT (PBE) results for a relaxed structure of Pr3Mg3AgIr2.

Cell: 7.6303 7.6303 4.1337 Å, 90.00 90.00 120.00°
Space group P-62m (No. 189)
Symmetry-distinct sites (fractional):
Pr: 0.0000 0.4233 0.0000 (multiplicity 3)
Mg: 0.0000 0.7490 0.5000 (multiplicity 3)
Ag: 0.0000 0.0000 0.0000 (multiplicity 1)
Ir: 0.3333 0.6667 0.5000 (multiplicity 2)

Summary:
VASP energy: -43.805 eV/cell

5.
DFT (PBE) results for a relaxed structure of Pr2YAl7Ag2.

Cell: 5.6436 5.6436 26.7127 Å, 90.00 90.00 120.00°
Space group R-3m (No. 166, hexagonal axes)
Symmetry-distinct sites (fractional):
Pr: 0.0000 0.0000 0.1417 (multiplicity 6)
Y: 0.0000 0.0000 0.0000 (multiplicity 3)
Al: 0.0000 0.0000 0.5000 (multiplicity 3)
Al: 0.0074 0.5037 0.9182 (multiplicity 18)
Ag: 0.0000 0.0000 0.3359 (multiplicity 6)

Summary:
VASP energy: -159.412 eV/cell

6.
DFT (PBE) results for a relaxed structure of GdNiSb.

Cell: 6.371 6.371 6.371 Å, 90.00 90.00 90.00°
Space group F-43m (No. 216)
Symmetry-distinct sites (fractional):
Gd: 0.000 0.000 0.000 (multiplicity 4)
Ni: 0.250 0.250 0.250 (multiplicity 4)
Sb: 0.000 0.000 0.500 (multiplicity 4)

Summary:
VASP energy: -68.261 eV/cell

7.
DFT (PBE) results for a relaxed structure of NaHfCoSn.

Cell: 6.482 6.482 6.482 Å, 90.00 90.00 90.00°
Space group F-43m (No. 216)
Symmetry-distinct sites (fractional):
Na: 0.000 0.000 0.000 (multiplicity 4)
Hf: 0.250 0.250 0.250 (multiplicity 4)
Co: 0.000 0.000 0.500 (multiplicity 4)
Sn: 0.250 0.250 0.750 (multiplicity 4)

Summary:
excess energy over the best structure of this formula in the dataset: 0 meV/atom

8.
DFT (PBE) results for a relaxed structure of ZrBPO.

Cell: 3.883 3.883 6.275 Å, 90.00 90.00 90.00°
Space group P4/nmm (No. 129, origin choice 2)
Symmetry-distinct sites (fractional):
Zr: 0.250 0.250 0.183 (multiplicity 2)
B: 0.250 0.750 0.500 (multiplicity 2)
P: 0.250 0.250 0.596 (multiplicity 2)
O: 0.250 0.750 0.000 (multiplicity 2)

Summary:
excess energy over the best structure of this formula in the dataset: 49 meV/atom

9.
DFT (PBE) results for a relaxed structure of MgReSnSb.

Cell: 6.775 6.775 6.775 Å, 90.00 90.00 90.00°
Space group F-43m (No. 216)
Symmetry-distinct sites (fractional):
Mg: 0.000 0.000 0.000 (multiplicity 4)
Re: 0.000 0.000 0.500 (multiplicity 4)
Sn: 0.250 0.250 0.250 (multiplicity 4)
Sb: 0.250 0.250 0.750 (multiplicity 4)

Summary:
excess energy over the best structure of this formula in the dataset: 0 meV/atom

10.
DFT (PBE) results for a relaxed structure of La2SmSi2Ni4Ge2.

Cell: 4.103 4.146 24.080 Å, 90.00 90.00 90.00°
Space group Immm (No. 71)
Symmetry-distinct sites (fractional):
La: 0.000 0.000 0.151 (multiplicity 4)
Sm: 0.000 0.500 0.000 (multiplicity 2)
Si: 0.000 0.000 0.298 (multiplicity 4)
Ni: 0.000 0.000 0.398 (multiplicity 4)
Ni: 0.000 0.500 0.249 (multiplicity 4)
Ge: 0.000 0.500 0.448 (multiplicity 4)

Summary:
VASP energy: -130.642 eV/cell

11.
DFT (PBE) results for a relaxed structure of Ni8W5.

Cell: 4.7154 4.7154 26.0317 Å, 90.00 90.00 120.00°
Space group R-3m (No. 166, hexagonal axes)
Symmetry-distinct sites (fractional):
Ni: 0.0000 0.0000 0.1648 (multiplicity 6)
Ni: 0.0033 0.5016 0.4137 (multiplicity 18)
W: 0.0000 0.0000 0.0000 (multiplicity 3)
W: 0.0000 0.0000 0.3481 (multiplicity 6)
W: 0.0000 0.0000 0.4521 (multiplicity 6)

Summary:
formation energy: 0.063 eV/atom
excess energy over the best structure of this formula in the dataset: 46 meV/atom

12.
DFT (PBE) results for a relaxed structure of CdBiAsO.

Cell: 4.2350 4.2350 32.2259 Å, 90.00 90.00 120.00°
Space group R-3m (No. 166, hexagonal axes)
Symmetry-distinct sites (fractional):
Cd: 0.0000 0.0000 0.1959 (multiplicity 6)
Bi: 0.0000 0.0000 0.3778 (multiplicity 6)
As: 0.0000 0.0000 0.1046 (multiplicity 6)
O: 0.0000 0.0000 0.3077 (multiplicity 6)

Summary:
excess energy over the best structure of this formula in the dataset: 14 meV/atom

13.
DFT (PBE) results for a relaxed structure of TcAsPdO.

Cell: 3.791 3.791 7.335 Å, 90.00 90.00 90.00°
Space group P4/nmm (No. 129, origin choice 2)
Symmetry-distinct sites (fractional):
Tc: 0.250 0.250 0.161 (multiplicity 2)
As: 0.250 0.250 0.731 (multiplicity 2)
Pd: 0.250 0.750 0.500 (multiplicity 2)
O: 0.250 0.750 0.000 (multiplicity 2)

Summary:
excess energy over the best structure of this formula in the dataset: 259 meV/atom

14.
DFT (PBE) results for a relaxed structure of PmAgTeO.

Cell: 5.854 5.854 9.921 Å, 90.00 90.00 90.00°
Space group P4mm (No. 99)
Symmetry-distinct sites (fractional):
Pm: 0.000 0.000 0.000 (multiplicity 1)
Pm: 0.000 0.500 0.774 (multiplicity 2)
Pm: 0.500 0.500 0.000 (multiplicity 1)
Ag: 0.250 0.250 0.386 (multiplicity 4)
Te: 0.000 0.000 0.592 (multiplicity 1)
Te: 0.000 0.500 0.181 (multiplicity 2)
Te: 0.500 0.500 0.593 (multiplicity 1)
O: 0.250 0.250 0.887 (multiplicity 4)

Summary:
excess energy over the best structure of this formula in the dataset: 1 meV/atom

15.
DFT (PBE) results for a relaxed structure of TmInFeS3.

Cell: 3.888 14.127 10.251 Å, 90.00 90.00 90.00°
Space group Cmcm (No. 63)
Symmetry-distinct sites (fractional):
Tm: 0.000 0.000 0.000 (multiplicity 4)
In: 0.000 0.250 0.250 (multiplicity 4)
Fe: 0.000 0.469 0.750 (multiplicity 4)
S: 0.000 0.063 0.750 (multiplicity 4)
S: 0.000 0.376 0.567 (multiplicity 8)

Summary:
VASP energy: -135.356 eV/cell

16.
DFT (PBE) results for a relaxed structure of LiHoGe.

Cell: 7.071 4.346 7.632 Å, 90.00 90.00 90.00°
Space group Pnma (No. 62)
Symmetry-distinct sites (fractional):
Li: 0.184 0.250 0.079 (multiplicity 4)
Ho: 0.005 0.250 0.719 (multiplicity 4)
Ge: 0.234 0.750 0.910 (multiplicity 4)

Summary:
VASP energy: -52.777 eV/cell

17.
DFT (PBE) results for a relaxed structure of ReSi2O4.

Cell: 8.269 8.269 8.269 Å, 90.00 90.00 90.00°
Space group Fd-3m (No. 227, origin choice 2)
Symmetry-distinct sites (fractional):
Re: 0.125 0.125 0.125 (multiplicity 8)
Si: 0.000 0.000 0.500 (multiplicity 16)
O: 0.024 0.024 0.726 (multiplicity 32)

Summary:
VASP energy: -382.590 eV/cell

18.
DFT (PBE) results for a relaxed structure of Y2Ga3Pt4.

Cell: 5.609 15.294 7.632 Å, 90.00 90.00 90.00°
Space group Cmce (No. 64)
Symmetry-distinct sites (fractional):
Y: 0.000 0.107 0.091 (multiplicity 8)
Ga: 0.000 0.000 0.500 (multiplicity 4)
Ga: 0.250 0.230 0.750 (multiplicity 8)
Pt: 0.000 0.181 0.475 (multiplicity 8)
Pt: 0.250 0.059 0.750 (multiplicity 8)

Summary:
VASP energy: -221.714 eV/cell

19.
DFT (PBE) results for a relaxed structure of FeSnHgSe3.

Cell: 3.856 14.525 11.421 Å, 90.00 90.00 90.00°
Space group Cmcm (No. 63)
Symmetry-distinct sites (fractional):
Fe: 0.000 0.071 0.250 (multiplicity 4)
Sn: 0.000 0.237 0.750 (multiplicity 4)
Hg: 0.000 0.500 0.000 (multiplicity 4)
Se: 0.000 0.177 0.095 (multiplicity 8)
Se: 0.000 0.469 0.250 (multiplicity 4)

Summary:
excess energy over the best structure of this formula in the dataset: 92 meV/atom

20.
DFT (PBE) results for a relaxed structure of DyYAsO.

Cell: 4.337 4.337 8.803 Å, 90.00 90.00 90.00°
Space group P4/nmm (No. 129, origin choice 2)
Symmetry-distinct sites (fractional):
Dy: 0.250 0.750 0.000 (multiplicity 2)
Y: 0.250 0.250 0.400 (multiplicity 2)
As: 0.250 0.250 0.795 (multiplicity 2)
O: 0.250 0.750 0.500 (multiplicity 2)

Summary:
excess energy over the best structure of this formula in the dataset: 98 meV/atom

21.
DFT (PBE) results for a relaxed structure of LiCu5Ge2.

Cell: 4.172 4.172 5.905 Å, 90.00 90.00 90.00°
Space group P4/mmm (No. 123)
Symmetry-distinct sites (fractional):
Li: 0.000 0.000 0.000 (multiplicity 1)
Cu: 0.000 0.500 0.249 (multiplicity 4)
Cu: 0.500 0.500 0.500 (multiplicity 1)
Ge: 0.000 0.000 0.500 (multiplicity 1)
Ge: 0.500 0.500 0.000 (multiplicity 1)

Summary:
VASP energy: -30.324 eV/cell

22.
DFT (PBE) results for a relaxed structure of FeAgGePd.

Cell: 6.255 6.255 6.255 Å, 90.00 90.00 90.00°
Space group F-43m (No. 216)
Symmetry-distinct sites (fractional):
Fe: 0.000 0.000 0.000 (multiplicity 4)
Ag: 0.250 0.250 0.250 (multiplicity 4)
Ge: 0.250 0.250 0.750 (multiplicity 4)
Pd: 0.000 0.000 0.500 (multiplicity 4)

Summary:
excess energy over the best structure of this formula in the dataset: 0 meV/atom

23.
DFT (PBE) results for a relaxed structure of Lu2SbW.

Cell: 6.999 6.999 6.999 Å, 90.00 90.00 90.00°
Space group F-43m (No. 216)
Symmetry-distinct sites (fractional):
Lu: 0.000 0.000 0.000 (multiplicity 4)
Lu: 0.250 0.250 0.250 (multiplicity 4)
Sb: 0.000 0.000 0.500 (multiplicity 4)
W: 0.250 0.250 0.750 (multiplicity 4)

Summary:
VASP energy: -100.752 eV/cell